(1)
Entry from Alexandria: a relaxed structure of ZnTc2Cl (PBE-GGA).

Cell and atoms, written as CIF:
```
data_ZnTc2Cl
_chemical_formula_sum 'Zn1 Tc2 Cl1'
_symmetry_space_group_name_H-M 'P 1'
_symmetry_Int_Tables_number 1
_cell_length_a 4.334
_cell_length_b 4.334
_cell_length_c 4.334
_cell_angle_alpha 60.00
_cell_angle_beta 60.00
_cell_angle_gamma 60.00
loop_
_symmetry_equiv_pos_as_xyz
'x,y,z'
loop_
_atom_site_label
_atom_site_type_symbol
_atom_site_fract_x
_atom_site_fract_y
_atom_site_fract_z
Cl1 Cl 0.000 0.000 0.000
Tc1 Tc 0.750 0.750 0.750
Tc2 Tc 0.250 0.250 0.250
Zn1 Zn 0.500 0.500 0.500
```

Properties
**Crystal system**: cubic
**M_tot**: 0.00 μB per formula unit
**E_form (uncorrected)**: 334.7 kJ/mol of formula units

***

(2)
Entry from Alexandria: a relaxed structure of Ca2CdIr (PBE-GGA).

Cell and atoms, written as CIF:
```
data_Ca2CdIr
_chemical_formula_sum 'Ca2 Cd1 Ir1'
_symmetry_space_group_name_H-M 'P 1'
_symmetry_Int_Tables_number 1
_cell_length_a 3.431
_cell_length_b 3.506
_cell_length_c 8.783
_cell_angle_alpha 66.51
_cell_angle_beta 90.00
_cell_angle_gamma 90.00
loop_
_symmetry_equiv_pos_as_xyz
'x,y,z'
loop_
_atom_site_label
_atom_site_type_symbol
_atom_site_fract_x
_atom_site_fract_y
_atom_site_fract_z
Cd1 Cd 0.500 0.250 0.250
Ir1 Ir 0.500 0.750 0.750
Ca1 Ca 0.000 0.455 0.545
Ca2 Ca 0.000 0.045 0.955
```

Properties
**Crystal system**: orthorhombic
**ΔH_f (0 K)**: -0.281 eV/atom
**M_tot**: 0.00 μB per formula unit

***

(3)
Entry from Alexandria: a relaxed structure of AgBrCl (PBE-GGA).

Cell and atoms, written as CIF:
```
data_AgBrCl
_chemical_formula_sum 'Ag1 Br1 Cl1'
_symmetry_space_group_name_H-M 'P 1'
_symmetry_Int_Tables_number 1
_cell_length_a 7.663
_cell_length_b 8.686
_cell_length_c 8.336
_cell_angle_alpha 160.49
_cell_angle_beta 149.41
_cell_angle_gamma 41.80
loop_
_symmetry_equiv_pos_as_xyz
'x,y,z'
loop_
_atom_site_label
_atom_site_type_symbol
_atom_site_fract_x
_atom_site_fract_y
_atom_site_fract_z
Ag1 Ag 0.996 0.837 0.792
Br1 Br 0.429 0.514 0.221
Cl1 Cl 0.574 0.649 0.987
```

Properties
**Crystal system**: triclinic
**M_tot**: 0.00 μB per formula unit
**E_form (uncorrected)**: -40.6 kJ/mol of formula units

***

(4)
Entry from Alexandria: a relaxed structure of Dy4TlIr (PBE-GGA).

Cell and atoms, written as CIF:
```
data_Dy4TlIr
_chemical_formula_sum 'Dy16 Tl4 Ir4'
_symmetry_space_group_name_H-M 'P 1'
_symmetry_Int_Tables_number 1
_cell_length_a 9.679
_cell_length_b 9.679
_cell_length_c 9.679
_cell_angle_alpha 60.00
_cell_angle_beta 60.00
_cell_angle_gamma 60.00
loop_
_symmetry_equiv_pos_as_xyz
'x,y,z'
loop_
_atom_site_label
_atom_site_type_symbol
_atom_site_fract_x
_atom_site_fract_y
_atom_site_fract_z
Ir1 Ir 0.609 0.609 0.609
Ir2 Ir 0.609 0.174 0.609
Ir3 Ir 0.609 0.609 0.174
Ir4 Ir 0.174 0.609 0.609
Tl1 Tl 0.164 0.164 0.508
Tl2 Tl 0.508 0.164 0.164
Tl3 Tl 0.164 0.164 0.164
Tl4 Tl 0.164 0.508 0.164
Dy1 Dy 0.401 0.401 0.401
Dy2 Dy 0.797 0.401 0.401
Dy3 Dy 0.941 0.559 0.941
Dy4 Dy 0.941 0.559 0.559
Dy5 Dy 0.191 0.809 0.809
Dy6 Dy 0.191 0.191 0.809
Dy7 Dy 0.809 0.191 0.191
Dy8 Dy 0.809 0.809 0.191
Dy9 Dy 0.941 0.941 0.559
Dy10 Dy 0.809 0.191 0.809
Dy11 Dy 0.559 0.941 0.559
Dy12 Dy 0.559 0.941 0.941
Dy13 Dy 0.401 0.401 0.797
Dy14 Dy 0.191 0.809 0.191
Dy15 Dy 0.559 0.559 0.941
Dy16 Dy 0.401 0.797 0.401
```

Properties
**Crystal system**: cubic
**ΔH_f (0 K)**: -0.538 eV/atom
**M_tot**: 0.00 μB per formula unit

***

(5)
Entry from Alexandria: a relaxed structure of SiTePt2 (PBE-GGA).

Cell and atoms, written as CIF:
```
data_SiTePt2
_chemical_formula_sum 'Si1 Te1 Pt2'
_symmetry_space_group_name_H-M 'P 1'
_symmetry_Int_Tables_number 1
_cell_length_a 5.253
_cell_length_b 5.253
_cell_length_c 5.253
_cell_angle_alpha 135.24
_cell_angle_beta 135.24
_cell_angle_gamma 65.16
loop_
_symmetry_equiv_pos_as_xyz
'x,y,z'
loop_
_atom_site_label
_atom_site_type_symbol
_atom_site_fract_x
_atom_site_fract_y
_atom_site_fract_z
Pt1 Pt 0.000 0.000 0.000
Pt2 Pt 0.250 0.750 0.500
Te1 Te 0.750 0.250 0.500
Si1 Si 0.500 0.500 0.000
```

Properties
**Crystal system**: tetragonal
**M_tot**: 0.00 μB per formula unit
**E_form (uncorrected)**: 51.9 kJ/mol of formula units

***

(6)
Entry from Alexandria: a relaxed structure of Ca2AgMo (PBE-GGA).

Cell and atoms, written as CIF:
```
data_Ca2AgMo
_chemical_formula_sum 'Ca4 Ag2 Mo2'
_symmetry_space_group_name_H-M 'P 1'
_symmetry_Int_Tables_number 1
_cell_length_a 8.147
_cell_length_b 8.147
_cell_length_c 6.566
_cell_angle_alpha 51.66
_cell_angle_beta 51.66
_cell_angle_gamma 90.00
loop_
_symmetry_equiv_pos_as_xyz
'x,y,z'
loop_
_atom_site_label
_atom_site_type_symbol
_atom_site_fract_x
_atom_site_fract_y
_atom_site_fract_z
Ag1 Ag 0.750 0.250 0.500
Ag2 Ag 0.000 0.000 0.000
Ca1 Ca 0.108 0.625 0.250
Ca2 Ca 0.642 0.125 0.250
Ca3 Ca 0.375 0.358 0.750
Ca4 Ca 0.875 0.892 0.750
Mo1 Mo 0.500 0.500 0.000
Mo2 Mo 0.250 0.750 0.500
```

Properties
**Crystal system**: tetragonal
**ΔH_f (0 K)**: 0.795 eV/atom
**M_tot**: 3.09 μB per formula unit

***

(7)
Entry from Alexandria: a relaxed structure of Na3ReSn (PBE-GGA).

Cell and atoms, written as CIF:
```
data_Na3ReSn
_chemical_formula_sum 'Na3 Re1 Sn1'
_symmetry_space_group_name_H-M 'P 1'
_symmetry_Int_Tables_number 1
_cell_length_a 5.631
_cell_length_b 5.631
_cell_length_c 5.631
_cell_angle_alpha 90.00
_cell_angle_beta 90.00
_cell_angle_gamma 90.00
loop_
_symmetry_equiv_pos_as_xyz
'x,y,z'
loop_
_atom_site_label
_atom_site_type_symbol
_atom_site_fract_x
_atom_site_fract_y
_atom_site_fract_z
Na1 Na 0.000 0.500 0.000
Na2 Na 0.500 0.000 0.000
Na3 Na 0.000 0.000 0.500
Re1 Re 0.000 0.000 0.000
Sn1 Sn 0.500 0.500 0.500
```

Properties
**Crystal system**: cubic
**ΔH_f (0 K)**: 1.480 eV/atom
**M_tot**: 3.34 μB per formula unit